First-principles (meta-GGA SCAN) data for a PBEsol-optimized structure of HfSnAs2Br, as listed in the Alexandria database.

Summary:
* formation energy (no corrections): 0.89 eV per atom
* uncorrected energy: -30.794 eV per atom
* symmetry: No. 123

The structure in extended XYZ format:
```
5
Lattice="5.1176 0.0000 0.0000 0.0000 5.1176 0.0000 0.0000 0.0000 5.0946" Properties=species:S:1:pos:R:3 pbc="T T T"
Hf 0.0000 0.0000 0.0000
Sn 2.5588 2.5588 2.5473
As 0.0000 2.5588 2.5473
As 2.5588 0.0000 2.5473
Br 2.5588 2.5588 0.0000
```

First-principles (meta-GGA SCAN) data for a PBEsol-optimized structure of HfTeAsBr2, as listed in the Alexandria database.

Summary:
* formation energy (no corrections): -0.25 eV per atom
* uncorrected energy: -32.058 eV per atom
* symmetry: No. 123

The structure in extended XYZ format:
```
5
Lattice="5.0019 0.0000 0.0000 0.0000 5.0019 0.0000 0.0000 0.0000 5.4888" Properties=species:S:1:pos:R:3 pbc="T T T"
Hf 0.0000 0.0000 0.0000
Te 2.5009 2.5009 2.7444
As 0.0000 0.0000 2.7444
Br 0.0000 2.5009 0.0000
Br 2.5009 0.0000 0.0000
```

First-principles (meta-GGA SCAN) data for a PBEsol-optimized structure of YHfAs2Br, as listed in the Alexandria database.

Summary:
* formation energy (no corrections): 0.29 eV per atom
* uncorrected energy: -29.780 eV per atom
* symmetry: No. 123

The structure in extended XYZ format:
```
5
Lattice="5.3179 0.0000 0.0000 0.0000 5.3179 0.0000 0.0000 0.0000 5.0866" Properties=species:S:1:pos:R:3 pbc="T T T"
Y 0.0000 0.0000 0.0000
Hf 2.6590 2.6590 2.5433
As 0.0000 2.6590 0.0000
As 2.6590 0.0000 0.0000
Br 0.0000 0.0000 2.5433
```

First-principles (meta-GGA SCAN) data for a PBEsol-optimized structure of Hg2AsBr, as listed in the Alexandria database.

Summary:
* formation energy (no corrections): -0.16 eV per atom
* uncorrected energy: -44.160 eV per atom
* E above lowest polymorph: 0.000 kcal/mol of atoms
* symmetry: No. 122

The structure in extended XYZ format:
```
8
Lattice="-3.1761 3.1761 6.7235 3.1761 -3.1761 6.7235 3.1761 3.1761 -6.7235" Properties=species:S:1:pos:R:3 pbc="T T T"
Hg 4.7641 1.1430 -1.6809
Hg 1.1430 1.5880 1.6809
Hg -1.5880 2.0331 5.0426
Hg 2.0331 1.5880 8.4044
As 0.0000 0.0000 0.0000
As 0.0000 3.1761 3.3618
Br 3.1761 0.0000 3.3618
Br 0.0000 0.0000 6.7235
```

First-principles (meta-GGA SCAN) data for a PBEsol-optimized structure of Hg2AsBr, as listed in the Alexandria database.

Summary:
* formation energy (no corrections): 0.11 eV per atom
* uncorrected energy: -43.881 eV per atom
* E above lowest polymorph: 6.423 kcal/mol of atoms
* symmetry: No. 65

The structure in extended XYZ format:
```
4
Lattice="2.0328 -2.9626 0.0000 2.0328 2.9626 0.0000 0.0000 0.0000 7.9665" Properties=species:S:1:pos:R:3 pbc="T T T"
Hg 0.0000 0.0000 1.8483
Hg 0.0000 0.0000 6.1182
As 2.0328 0.0000 0.0000
Br 2.0328 0.0000 3.9832
```

First-principles (meta-GGA SCAN) data for a PBEsol-optimized structure of Hg4As2Br3, as listed in the Alexandria database.

Summary:
* formation energy (no corrections): -0.32 eV per atom
* uncorrected energy: -41.585 eV per atom
* symmetry: No. 205

The structure in extended XYZ format:
```
72
Lattice="12.6383 0.0000 0.0000 0.0000 12.6383 0.0000 0.0000 0.0000 12.6383" Properties=species:S:1:pos:R:3 pbc="T T T"
Hg 0.0400 3.1188 0.3295
Hg 0.0400 3.2004 6.6486
Hg 0.3295 0.0400 3.1188
Hg 0.3295 6.2791 9.4379
Hg 2.7748 9.0940 9.8636
Hg 2.7748 9.8636 3.5444
Hg 3.1188 0.3295 0.0400
Hg 3.1188 5.9897 6.3592
Hg 3.2004 6.6486 0.0400
Hg 3.2004 12.3089 6.3592
Hg 3.5444 2.7748 9.8636
Hg 3.5444 3.5444 3.5444
Hg 5.9897 6.3592 3.1188
Hg 5.9897 12.5983 9.4379
Hg 6.2791 9.4379 0.3295
Hg 6.2791 9.5196 6.6486
Hg 6.3592 3.1188 5.9897
Hg 6.3592 3.2004 12.3089
Hg 6.6486 0.0400 3.2004
Hg 6.6486 6.2791 9.5196
Hg 9.0940 9.0940 9.0940
Hg 9.0940 9.8636 2.7748
Hg 9.4379 0.3295 6.2791
Hg 9.4379 5.9897 12.5983
Hg 9.5196 6.6486 6.2791
Hg 9.5196 12.3089 12.5983
Hg 9.8636 2.7748 9.0940
Hg 9.8636 3.5444 2.7748
Hg 12.3089 6.3592 3.2004
Hg 12.3089 12.5983 9.5196
Hg 12.5983 9.4379 5.9897
Hg 12.5983 9.5196 12.3089
As 0.6931 0.6931 0.6931
As 0.6931 5.6261 7.0123
As 1.3110 7.6301 11.3274
As 1.3110 11.3274 5.0082
As 5.0082 1.3110 11.3274
As 5.0082 5.0082 5.0082
As 5.6261 7.0123 0.6931
As 5.6261 11.9452 7.0123
As 7.0123 0.6931 5.6261
As 7.0123 5.6261 11.9452
As 7.6301 7.6301 7.6301
As 7.6301 11.3274 1.3110
As 11.3274 1.3110 7.6301
As 11.3274 5.0082 1.3110
As 11.9452 7.0123 5.6261
As 11.9452 11.9452 11.9452
Br 0.8132 3.0371 3.8920
Br 0.8132 3.2820 10.2111
Br 2.4272 7.1324 3.0371
Br 2.4272 11.8251 9.3563
Br 3.0371 2.4272 7.1324
Br 3.0371 3.8920 0.8132
Br 3.2820 8.7464 7.1324
Br 3.2820 10.2111 0.8132
Br 3.8920 0.8132 3.0371
Br 3.8920 5.5059 9.3563
Br 5.5059 9.3563 3.8920
Br 5.5059 9.6012 10.2111
Br 7.1324 3.0371 2.4272
Br 7.1324 3.2820 8.7464
Br 8.7464 7.1324 3.2820
Br 8.7464 11.8251 9.6012
Br 9.3563 2.4272 11.8251
Br 9.3563 3.8920 5.5059
Br 9.6012 8.7464 11.8251
Br 9.6012 10.2111 5.5059
Br 10.2111 0.8132 3.2820
Br 10.2111 5.5059 9.6012
Br 11.8251 9.3563 2.4272
Br 11.8251 9.6012 8.7464
```

First-principles (meta-GGA SCAN) data for a PBEsol-optimized structure of Hg2As3Br, as listed in the Alexandria database.

Summary:
* formation energy (no corrections): -0.19 eV per atom
* uncorrected energy: -36.253 eV per atom
* symmetry: No. 15

The structure in extended XYZ format:
```
12
Lattice="4.0567 -4.6555 0.0000 4.0567 4.6555 0.0000 -1.3766 0.0000 7.9908" Properties=species:S:1:pos:R:3 pbc="T T T"
Hg 1.6065 1.2390 1.2449
Hg 0.9182 -1.2390 5.2403
Hg 5.8186 1.2390 2.7505
Hg 5.1303 -1.2390 6.7459
As 3.0242 1.9210 5.9931
As 2.2904 0.5668 4.0832
As 2.9788 -0.5668 0.0878
As 3.7580 0.5668 7.9030
As 4.4463 -0.5668 3.9076
As 3.7125 -1.9210 1.9977
Br 3.7125 3.3862 1.9977
Br 3.0242 -3.3862 5.9931
```

First-principles (meta-GGA SCAN) data for a PBEsol-optimized structure of HgAs2IBr, as listed in the Alexandria database.

Summary:
* formation energy (no corrections): 0.94 eV per atom
* uncorrected energy: -32.009 eV per atom
* symmetry: No. 123

The structure in extended XYZ format:
```
5
Lattice="5.4018 0.0000 0.0000 0.0000 5.4018 0.0000 0.0000 0.0000 5.7239" Properties=species:S:1:pos:R:3 pbc="T T T"
Hg 0.0000 0.0000 0.0000
As 0.0000 2.7009 2.8620
As 2.7009 0.0000 2.8620
I 2.7009 2.7009 2.8620
Br 2.7009 2.7009 0.0000
```

First-principles (meta-GGA SCAN) data for a PBEsol-optimized structure of LaHgAsBr2, as listed in the Alexandria database.

Summary:
* formation energy (no corrections): -0.88 eV per atom
* uncorrected energy: -34.957 eV per atom
* symmetry: No. 123

The structure in extended XYZ format:
```
5
Lattice="5.7678 0.0000 0.0000 0.0000 5.7678 0.0000 0.0000 0.0000 6.0463" Properties=species:S:1:pos:R:3 pbc="T T T"
La 0.0000 0.0000 0.0000
Hg 2.8839 2.8839 3.0231
As 0.0000 0.0000 3.0231
Br 0.0000 2.8839 0.0000
Br 2.8839 0.0000 0.0000
```

First-principles (meta-GGA SCAN) data for a PBEsol-optimized structure of LiHgAs2Br, as listed in the Alexandria database.

Summary:
* formation energy (no corrections): 0.35 eV per atom
* uncorrected energy: -25.731 eV per atom
* symmetry: No. 123

The structure in extended XYZ format:
```
5
Lattice="5.0744 0.0000 0.0000 0.0000 5.0744 0.0000 0.0000 0.0000 6.1718" Properties=species:S:1:pos:R:3 pbc="T T T"
Li 0.0000 0.0000 0.0000
Hg 2.5372 2.5372 3.0859
As 0.0000 2.5372 3.0859
As 2.5372 0.0000 3.0859
Br 2.5372 2.5372 0.0000
```

First-principles (meta-GGA SCAN) data for a PBEsol-optimized structure of MgHgAsBr2, as listed in the Alexandria database.

Summary:
* formation energy (no corrections): 0.23 eV per atom
* uncorrected energy: -26.224 eV per atom
* symmetry: No. 123

The structure in extended XYZ format:
```
5
Lattice="5.3834 0.0000 0.0000 0.0000 5.3834 0.0000 0.0000 0.0000 5.2846" Properties=species:S:1:pos:R:3 pbc="T T T"
Mg 0.0000 0.0000 0.0000
Hg 2.6917 2.6917 2.6423
As 2.6917 2.6917 0.0000
Br 0.0000 2.6917 2.6423
Br 2.6917 0.0000 2.6423
```

First-principles (meta-GGA SCAN) data for a PBEsol-optimized structure of HgMoAsBr2, as listed in the Alexandria database.

Summary:
* formation energy (no corrections): 0.13 eV per atom
* uncorrected energy: -32.303 eV per atom
* symmetry: No. 123

The structure in extended XYZ format:
```
5
Lattice="5.0806 0.0000 0.0000 0.0000 5.0806 0.0000 0.0000 0.0000 4.8528" Properties=species:S:1:pos:R:3 pbc="T T T"
Hg 0.0000 0.0000 0.0000
Mo 2.5403 2.5403 2.4264
As 2.5403 2.5403 0.0000
Br 0.0000 2.5403 2.4264
Br 2.5403 0.0000 2.4264
```

First-principles (meta-GGA SCAN) data for a PBEsol-optimized structure of Hg3AsBrO4, as listed in the Alexandria database.

Summary:
* formation energy (no corrections): -0.76 eV per atom
* uncorrected energy: -30.659 eV per atom
* symmetry: No. 198

The structure in extended XYZ format:
```
36
Lattice="8.5160 0.0000 0.0000 0.0000 8.5160 0.0000 0.0000 0.0000 8.5160" Properties=species:S:1:pos:R:3 pbc="T T T"
Hg 0.4667 3.3925 3.0280
Hg 0.8655 5.4880 4.7247
Hg 1.2300 8.0493 7.6505
Hg 3.0280 0.4667 3.3925
Hg 3.3925 3.0280 0.4667
Hg 3.7913 5.1235 7.2860
Hg 4.7247 0.8655 5.4880
Hg 5.1235 7.2860 3.7913
Hg 5.4880 4.7247 0.8655
Hg 7.2860 3.7913 5.1235
Hg 7.6505 1.2300 8.0493
Hg 8.0493 7.6505 1.2300
As 0.1674 4.4254 8.3486
As 4.0906 4.0906 4.0906
As 4.4254 8.3486 0.1674
As 8.3486 0.1674 4.4254
Br 2.0173 6.4987 2.2407
Br 2.2407 2.0173 6.4987
Br 6.2753 6.2753 6.2753
Br 6.4987 2.2407 2.0173
O 0.8742 1.0874 3.3846
O 0.8734 7.6418 5.3454
O 1.0874 3.3846 0.8742
O 1.1499 5.4079 7.3661
O 3.1081 3.1081 3.1081
O 3.1706 5.1314 5.1322
O 3.3846 0.8742 1.0874
O 3.3838 7.4286 7.6426
O 5.1322 3.1706 5.1314
O 5.1314 5.1322 3.1706
O 5.3454 0.8734 7.6418
O 5.4079 7.3661 1.1499
O 7.3661 1.1499 5.4079
O 7.4286 7.6426 3.3838
O 7.6426 3.3838 7.4286
O 7.6418 5.3454 0.8734
```

First-principles (meta-GGA SCAN) data for a PBEsol-optimized structure of HgAs2BrO, as listed in the Alexandria database.

Summary:
* formation energy (no corrections): 1.23 eV per atom
* uncorrected energy: -25.613 eV per atom
* symmetry: No. 123

The structure in extended XYZ format:
```
5
Lattice="5.1324 0.0000 0.0000 0.0000 5.1324 0.0000 0.0000 0.0000 5.4843" Properties=species:S:1:pos:R:3 pbc="T T T"
Hg 0.0000 0.0000 0.0000
As 0.0000 2.5662 0.0000
As 2.5662 0.0000 0.0000
Br 0.0000 0.0000 2.7422
O 2.5662 2.5662 2.7422
```

First-principles (meta-GGA SCAN) data for a PBEsol-optimized structure of HgAsPBr2, as listed in the Alexandria database.

Summary:
* formation energy (no corrections): 0.87 eV per atom
* uncorrected energy: -26.660 eV per atom
* symmetry: No. 123

The structure in extended XYZ format:
```
5
Lattice="5.2765 0.0000 0.0000 0.0000 5.2765 0.0000 0.0000 0.0000 5.3327" Properties=species:S:1:pos:R:3 pbc="T T T"
Hg 0.0000 0.0000 0.0000
As 0.0000 0.0000 2.6663
P 2.6382 2.6382 2.6663
Br 0.0000 2.6382 0.0000
Br 2.6382 0.0000 0.0000
```

First-principles (meta-GGA SCAN) data for a PBEsol-optimized structure of HgAsPdBr2, as listed in the Alexandria database.

Summary:
* formation energy (no corrections): 0.80 eV per atom
* uncorrected energy: -31.213 eV per atom
* symmetry: No. 123

The structure in extended XYZ format:
```
5
Lattice="5.3447 0.0000 0.0000 0.0000 5.3447 0.0000 0.0000 0.0000 5.1438" Properties=species:S:1:pos:R:3 pbc="T T T"
Hg 0.0000 0.0000 0.0000
As 0.0000 0.0000 2.5719
Pd 2.6723 2.6723 2.5719
Br 0.0000 2.6723 0.0000
Br 2.6723 0.0000 0.0000
```

First-principles (meta-GGA SCAN) data for a PBEsol-optimized structure of Rb2HgAsBr6, as listed in the Alexandria database.

Summary:
* formation energy (no corrections): -1.03 eV per atom
* uncorrected energy: -25.687 eV per atom
* symmetry: No. 225

The structure in extended XYZ format:
```
10
Lattice="0.0000 5.4870 5.4870 5.4870 0.0000 5.4870 5.4870 5.4870 0.0000" Properties=species:S:1:pos:R:3 pbc="T T T"
Rb 2.7435 2.7435 2.7435
Rb 8.2306 8.2306 8.2306
Hg 0.0000 0.0000 0.0000
As 5.4870 5.4870 5.4870
Br 5.4870 5.4870 2.8533
Br 5.4870 2.8533 5.4870
Br 8.1208 5.4870 5.4870
Br 2.8533 5.4870 5.4870
Br 5.4870 8.1208 5.4870
Br 5.4870 5.4870 8.1208
```

First-principles (meta-GGA SCAN) data for a PBEsol-optimized structure of HgAs2RhBr, as listed in the Alexandria database.

Summary:
* formation energy (no corrections): 1.35 eV per atom
* uncorrected energy: -31.001 eV per atom
* symmetry: No. 123

The structure in extended XYZ format:
```
5
Lattice="5.0132 0.0000 0.0000 0.0000 5.0132 0.0000 0.0000 0.0000 5.2967" Properties=species:S:1:pos:R:3 pbc="T T T"
Hg 0.0000 0.0000 0.0000
As 0.0000 2.5066 0.0000
As 2.5066 0.0000 0.0000
Rh 2.5066 2.5066 2.6483
Br 0.0000 0.0000 2.6483
```

First-principles (meta-GGA SCAN) data for a PBEsol-optimized structure of Hg2AsRuBr, as listed in the Alexandria database.

Summary:
* formation energy (no corrections): 0.80 eV per atom
* uncorrected energy: -41.363 eV per atom
* symmetry: No. 123

The structure in extended XYZ format:
```
5
Lattice="5.2928 0.0000 0.0000 0.0000 5.2928 0.0000 0.0000 0.0000 4.5461" Properties=species:S:1:pos:R:3 pbc="T T T"
Hg 0.0000 2.6464 0.0000
Hg 2.6464 0.0000 0.0000
As 0.0000 0.0000 2.2730
Ru 2.6464 2.6464 0.0000
Br 2.6464 2.6464 2.2730
```

First-principles (meta-GGA SCAN) data for a PBEsol-optimized structure of Hg3AsSe4Br, as listed in the Alexandria database.

Summary:
* formation energy (no corrections): -0.26 eV per atom
* uncorrected energy: -36.312 eV per atom
* symmetry: No. 186

The structure in extended XYZ format:
```
18
Lattice="7.7510 0.0000 0.0000 -3.8755 6.7125 0.0000 0.0000 0.0000 9.3091" Properties=species:S:1:pos:R:3 pbc="T T T"
Hg -1.9116 3.3714 0.0000
Hg 1.9116 3.3714 0.0000
Hg 0.0000 6.6824 0.0000
Hg 3.8755 0.0302 4.6545
Hg 1.9639 3.3412 4.6545
Hg 5.7871 3.3412 4.6545
As 0.0000 0.0000 0.1940
As 0.0000 0.0000 4.8486
Se 0.0000 2.0127 3.4863
Se -2.1324 5.7062 3.4863
Se 1.7431 1.0064 8.1408
Se 0.0000 4.4750 1.3455
Se 3.8755 2.2375 6.0001
Se 2.1324 5.7062 3.4863
Se 6.0079 1.0064 8.1408
Se 3.8755 4.6998 8.1408
Br 0.0000 4.4750 6.6665
Br 3.8755 2.2375 2.0120
```